Density functional theory data (PBE) for a relaxed structure of Cs2TiPBr6.

Output
**Space group**: I4/mmm, No. 139
**Total DFT energy (no corrections)**: -3.504 eV per atom
**V**: 350.6 Å³/cell

Cell: 7.444 7.444 8.230 Å, 63.11 63.11 90.00°
Each line ends with the local moment (μB).
Atoms (fractional coordinates):
Cs  0.750  0.250  0.500  0.00
Cs  0.250  0.750  0.500  0.00
P  0.500  0.500  0.000  -0.07
Br  0.203  0.203  0.593  -0.01
Br  0.797  0.797  0.407  -0.01
Br  0.252  0.252  0.000  0.00
Br  0.748  0.748  0.000  0.00
Br  0.748  0.252  0.000  -0.01
Br  0.252  0.748  0.000  -0.01
Ti  0.000  0.000  0.000  1.03

Density functional theory data (PBE) for a relaxed structure of ThFe6Ge6.

Output
**Space group**: Immm, No. 71
**V**: 190.3 Å³/cell
**ΔE_f**: -5.41 kcal/mol of atoms

Cell: 5.165 6.605 6.605 Å, 77.38 66.98 66.98°
Each line ends with the local moment (μB).
Atoms (fractional coordinates):
Th  0.000  0.000  0.000  -0.16
Fe  0.000  0.500  0.000  2.03
Fe  0.500  0.500  0.000  2.03
Fe  0.000  0.000  0.500  2.03
Fe  0.500  0.000  0.500  2.03
Fe  0.500  0.749  0.251  2.01
Fe  0.500  0.251  0.749  2.01
Ge  0.342  0.658  0.658  -0.07
Ge  0.658  0.342  0.342  -0.07
Ge  0.000  0.351  0.649  -0.05
Ge  0.000  0.649  0.351  -0.05
Ge  0.323  0.177  0.177  -0.07
Ge  0.677  0.823  0.823  -0.07

Density functional theory data (PBE) for a relaxed structure of Er12Bi5C2.

Output
**Space group**: C2/m, No. 12
**V**: 566.3 Å³/cell
**ΔE_f**: -8.92 kcal/mol of atoms

Cell: 7.593 9.301 9.219 Å, 106.09 90.00 114.09°
Each line ends with the local moment (μB).
Atoms (fractional coordinates):
Er  0.002  0.003  0.168  0.22
Er  0.091  0.706  0.922  0.15
Er  0.615  0.706  0.922  0.15
Er  0.130  0.725  0.447  0.10
Er  0.595  0.725  0.447  0.10
Er  0.495  0.990  0.814  0.15
Er  0.505  0.010  0.186  0.15
Er  0.870  0.275  0.553  0.10
Er  0.405  0.275  0.553  0.10
Er  0.909  0.294  0.078  0.15
Er  0.385  0.294  0.078  0.15
Er  0.998  0.997  0.832  0.22
Bi  0.288  0.576  0.650  0.00
Bi  0.313  0.625  0.155  0.00
Bi  0.000  0.000  0.500  0.00
Bi  0.687  0.375  0.845  0.00
Bi  0.712  0.424  0.350  0.00
C  0.739  0.000  0.000  -0.01
C  0.261  0.000  0.000  -0.01